Record 1
{
  "formula": "Mn2InSe",
  "functional": "PBE",
  "state": "relaxed",
  "cell": [[-1.440, -4.498, -1.391], [-1.269, -2.222, 4.207], [-1.477, 4.367, -1.730]],
  "species": ["In", "Mn", "Mn", "Se"],
  "fractional_positions": [[0.750, 0.250, 0.500], [0.000, 0.000, 0.000], [0.500, 0.500, 0.000], [0.250, 0.750, 0.500]],
  "de_polymorph_mev_per_atom": 228
}



Record 2
{
  "formula": "NbPbBrO2",
  "functional": "PBE",
  "state": "relaxed",
  "cell": [[4.185, 0.000, 0.000], [0.000, 6.357, 0.000], [0.000, 0.000, 4.185]],
  "species": ["Pb", "Nb", "O", "O", "Br"],
  "fractional_positions": [[0.000, 0.000, 0.000], [0.000, 0.500, 0.000], [0.000, 0.000, 0.500], [0.500, 0.000, 0.000], [0.500, 0.500, 0.500]]
}



The evaluated energy for the records listed, in turn: -23.54, -23.75 eV for the cell shown.
The evaluated formation energy without anion corrections for the records listed, in turn: 5.9, 7.5 kcal/mol of atoms.